# 1
# Mg6Tl2Au

An optimized crystal structure of Mg6Tl2Au (GGA-PBE, the Alexandria database).

Values from the calculation:
The formation energy comes out at -0.21 eV per atom. The calculation puts the density of states at the Fermi level at 0.419 states/eV/atom. The crystal system is hexagonal. The total DFT energy (no corrections) is -2.1626 eV/atom.

a b c (Å): 8.003 8.003 3.643
angles (deg): 90.00 90.00 120.00
Positions (direct):
Mg 0.000 0.369 0.000
Mg 0.000 0.741 0.500
Mg 0.259 0.259 0.500
Mg 0.369 0.000 0.000
Mg 0.631 0.631 0.000
Mg 0.741 0.000 0.500
Tl 0.333 0.667 0.500
Tl 0.667 0.333 0.500
Au 0.000 0.000 0.000



# 2
# Ac6HgPb2

An optimized crystal structure of Ac6HgPb2 (GGA-PBE, the Alexandria database).

Values from the calculation:
The formation energy comes out at -0.20 eV per atom. The calculation puts the density of states at the Fermi level at 1.444 states/eV/atom. The crystal system is orthorhombic. The total DFT energy (no corrections) is -3.7972 eV/atom.

a b c (Å): 9.748 9.748 9.748
angles (deg): 146.42 131.19 60.55
Positions (direct):
Ac 0.082 0.337 0.745
Ac 0.237 0.000 0.237
Ac 0.408 0.663 0.745
Ac 0.592 0.337 0.255
Ac 0.763 0.000 0.763
Ac 0.918 0.663 0.255
Hg 0.000 0.500 0.500
Pb 0.334 0.834 0.500
Pb 0.666 0.166 0.500



# 3
# Ac3In4Au4

An optimized crystal structure of Ac3In4Au4 (GGA-PBE, the Alexandria database).

Values from the calculation:
The formation energy comes out at -0.64 eV per atom. The calculation puts the density of states at the Fermi level at 0.610 states/eV/atom. The crystal system is orthorhombic. The total DFT energy (no corrections) is -3.9471 eV/atom.

a b c (Å): 9.246 9.246 9.246
angles (deg): 151.20 129.05 59.59
Positions (direct):
Ac 0.000 0.000 0.000
Ac 0.378 0.878 0.500
Ac 0.622 0.122 0.500
In 0.022 0.329 0.693
In 0.364 0.671 0.693
In 0.636 0.329 0.307
In 0.978 0.671 0.307
Au 0.220 0.220 0.000
Au 0.307 0.500 0.807
Au 0.693 0.500 0.193
Au 0.780 0.780 0.000